(1)
Below is LiAc2H after structural relaxation, with properties calculated at the GGA-PBE level.

Summary:
Total magnetization in Bohr magnetons per cell: 0.0
Symmetry: R-3m, No. 166
E_tot in eV for the cell shown: -13.2

Cell: 3.849 3.849 10.296 Å, 79.23 79.23 60.00°
Atoms (fractional coordinates):
1 H 0.500 0.500 0.500
2 Ac 0.115 0.115 0.655
3 Ac 0.885 0.885 0.345
4 Li 0.000 0.000 0.000

***

(2)
Below is ScAlBi3 after structural relaxation, with properties calculated at the GGA-PBE level.

Summary:
Formation enthalpy at 0 K in eV/atom: 0.4696
Total magnetization in Bohr magnetons per cell: 0.0
Offset from the most stable computed form in eV per formula unit: 0.574
Symmetry: Pm-3m, No. 221
E_tot in eV for the cell shown: -19.4

Cell: 5.424 5.424 5.424 Å, 90.00 90.00 90.00°
Atoms (fractional coordinates):
1 Sc 0.500 0.500 0.500
2 Bi 0.000 0.500 0.000
3 Bi 0.000 0.000 0.500
4 Bi 0.500 0.000 0.000
5 Al 0.000 0.000 0.000

***

(3)
Below is FeAgP2Cl after structural relaxation, with properties calculated at the GGA-PBE level.

Summary:
Total magnetization in Bohr magnetons per cell: 2.9
Offset from the most stable computed form in eV per formula unit: 4.610
Formation energy without anion corrections in kJ/mol of formula units: 601
Symmetry: P4/mmm, No. 123
E_tot in eV for the cell shown: -17.7

Cell: 4.779 4.779 5.053 Å, 90.00 90.00 90.00°
Atoms (fractional coordinates):
1 P 0.000 0.500 0.000
2 P 0.500 0.000 0.000
3 Fe 0.500 0.500 0.500
4 Ag 0.000 0.000 0.000
5 Cl 0.000 0.000 0.500

***

(4)
Below is MnFeHg2 after structural relaxation, with properties calculated at the GGA-PBE level.

Summary:
Formation enthalpy at 0 K in eV/atom: 0.4155
Total magnetization in Bohr magnetons per cell: 6.3
Offset from the most stable computed form in eV per formula unit: 0.213
Symmetry: Imm2, No. 44
E_tot in eV for the cell shown: -16.6

Cell: 5.645 5.645 5.645 Å, 149.30 129.70 60.09°
Atoms (fractional coordinates):
1 Fe 0.264 0.764 0.500
2 Hg 0.015 0.015 0.000
3 Hg 0.741 0.241 0.500
4 Mn 0.480 0.480 0.000

***

(5)
Below is Li2HgOs after structural relaxation, with properties calculated at the GGA-PBE level.

Summary:
Formation enthalpy at 0 K in eV/atom: 0.3384
Total magnetization in Bohr magnetons per cell: 0.0
Symmetry: Cmm2, No. 35
E_tot in eV for the cell shown: -14.0

Cell: 2.753 2.753 9.663 Å, 90.00 90.00 113.82°
Atoms (fractional coordinates):
1 Hg 0.500 0.500 0.756
2 Li 0.000 0.000 0.993
3 Li 0.500 0.500 0.265
4 Os 0.000 0.000 0.486

***

(6)
Below is RbNaRh2 after structural relaxation, with properties calculated at the GGA-PBE level.

Summary:
Formation enthalpy at 0 K in eV/atom: 1.1064
Total magnetization in Bohr magnetons per cell: 0.9
Offset from the most stable computed form in eV per formula unit: 0.396
Symmetry: Fm-3m, No. 225
E_tot in eV for the cell shown: -12.6

Cell: 4.963 4.963 4.963 Å, 60.00 60.00 60.00°
Atoms (fractional coordinates):
1 Na 0.000 0.000 0.000
2 Rh 0.250 0.250 0.250
3 Rh 0.750 0.750 0.750
4 Rb 0.500 0.500 0.500

***

What is the E_tot in the fourth record?
-16.6 eV for the cell shown

***

Number 2 is which compound?
ScAlBi3

***

Look up the E_tot of the fifth one.
-14.0 eV for the cell shown